1.
19
Lattice="6.4728 0.0000 0.0000 -3.2364 6.2720 0.0744 0.0000 -2.1264 6.9851" Properties=species:S:1:pos:R:3 comment="In2Bi5O12 PBE optimized geometry" e_form_raw_kj_per_mol_fu=-2141.6 spacegroup=C2/m total_energy_ev_per_atom=-5.6093 pbc="T T T"
In 4.9080 0.0000 0.0000
In 1.5648 0.0000 0.0000
Bi 0.0000 2.5157 4.5111
Bi 0.0000 3.5356 1.0847
Bi 0.0000 -1.0632 3.4925
Bi 3.2364 0.6101 5.9748
Bi 3.2364 1.6300 2.5483
O 3.2364 5.6084 1.4015
O -1.3613 2.1304 6.3145
O 1.3613 2.1304 6.3145
O -1.8208 3.5472 3.2421
O 1.8208 3.5472 3.2421
O 3.2364 -1.6570 5.5901
O 0.0000 5.8026 1.4694
O 5.0572 0.5984 3.8174
O 1.4156 0.5984 3.8174
O 4.5976 2.0153 0.7450
O 1.8751 2.0153 0.7450
O 0.0000 -1.4627 5.6580


2.
8
Lattice="5.6376 0.0000 0.0000 0.0000 5.6376 0.0000 2.8188 2.8188 4.8401" Properties=species:S:1:pos:R:3 comment="InBiO2 PBE optimized geometry" e_above_lowest_polymorph_ev_per_fu=1.49 e_form_raw_kj_per_mol_fu=-325.0 spacegroup=I-42d total_energy_ev_per_atom=-4.9760 pbc="T T T"
Bi 0.0000 0.0000 0.0000
Bi 5.6376 2.8188 2.4201
O 3.8854 1.4094 1.2100
O 1.7521 4.2282 1.2100
O 4.2282 4.5709 3.6301
O 7.0470 6.7042 3.6301
In 2.8188 2.8188 0.0000
In 2.8188 5.6376 2.4201


3.
80
Lattice="11.5920 0.0000 0.0000 -3.8640 10.9290 0.0000 -3.8640 -5.4645 9.4648" Properties=species:S:1:pos:R:3 comment="In5Bi3O12 PBE optimized geometry" e_form_raw_kj_per_mol_fu=-2625.7 spacegroup=Ia-3d total_energy_ev_per_atom=-5.6023 pbc="T T T"
Bi 6.7620 3.4153 1.1831
Bi 6.7620 7.5137 1.1831
Bi -0.9660 4.7815 5.9155
Bi 0.9660 -0.6831 3.5493
Bi 8.6940 0.0000 2.3662
Bi 0.9660 5.4645 2.3662
Bi 2.8980 0.0000 7.0986
Bi -4.8300 5.4645 7.0986
Bi 2.8980 6.1476 5.9155
Bi 4.8300 0.6831 3.5493
Bi -2.8980 -2.0492 8.2817
Bi -2.8980 2.0492 8.2817
In -0.9660 2.7323 2.3662
In -1.9320 5.4645 0.0000
In 0.0000 0.0000 0.0000
In 2.8980 2.0492 1.1831
In 3.8640 -2.7323 4.7324
In 3.8640 5.4645 0.0000
In -2.8980 6.1476 3.5493
In 4.8300 -3.4153 8.2817
In 4.8300 4.7815 3.5493
In 0.9660 -2.7323 7.0986
In 2.8980 8.1968 2.3662
In 1.9320 2.7323 4.7324
In 5.7960 0.0000 0.0000
In -1.9320 -2.7323 4.7324
In -0.9660 0.6831 5.9155
In -0.9660 8.8799 1.1831
In -3.8640 2.7323 4.7324
In 6.7620 -0.6831 5.9155
In 0.9660 3.4153 8.2817
In 4.8300 2.7323 7.0986
O 7.6130 1.1884 0.3580
O 0.1150 3.6365 3.8822
O 8.6016 2.4952 2.7268
O 4.9224 1.6184 1.2082
O 1.4173 4.0969 6.3801
O 8.2018 5.4950 1.6477
O -0.8736 6.3413 3.9349
O -2.9904 9.3106 1.2082
O 0.5148 6.8321 6.3801
O 5.3222 5.4341 1.6477
O 5.9110 3.0164 3.5242
O 5.9110 9.7407 0.3580
O -3.3493 4.8415 5.0904
O 2.4058 4.0224 0.7975
O -3.9789 7.9126 3.5242
O 2.0469 -1.8280 5.5826
O -0.5147 0.7446 2.0057
O 2.4058 6.8762 0.8502
O 4.9224 8.4339 2.7268
O -0.4738 4.0528 0.8502
O -2.4468 6.2091 7.4592
O 2.8056 4.5878 3.9349
O 5.2813 6.0875 5.0904
O 4.3378 -1.4421 8.6673
O 1.0584 0.8767 5.5299
O -1.4173 -0.6230 4.3744
O -0.4738 6.9067 0.7975
O -1.0584 -2.9694 6.7381
O 6.3108 -0.7446 2.0057
O 4.3378 1.4117 8.6146
O 1.4582 -1.4117 8.6146
O 1.8171 7.2926 3.8822
O 4.3787 4.7199 7.4592
O 7.8430 -2.4481 5.9406
O 7.2133 0.6230 4.3744
O -2.0470 -4.2761 9.1068
O 1.4582 1.4421 8.6673
O 3.3493 -1.3676 3.0847
O -1.4582 0.0304 7.8172
O -2.0470 2.4481 5.9406
O 6.8544 -3.8461 8.2567
O 4.7376 -0.8768 5.5299
O -1.0584 3.8461 8.2567
O -4.3378 -0.0304 7.8172
O 2.4467 1.3676 3.0847
O -4.7376 2.9694 6.7381
O 3.7490 1.8280 5.5826
O -3.7490 4.2761 9.1068


4.
32
Lattice="-4.8807 5.4311 -7.6910 -5.5008 -5.0387 0.2855 -3.5790 4.2923 4.9494" Properties=species:S:1:pos:R:3 comment="InBiO2 PBE optimized geometry" e_above_lowest_polymorph_ev_per_fu=0.55 e_form_raw_kj_per_mol_fu=-415.5 spacegroup=C2/c total_energy_ev_per_atom=-5.2106 pbc="T T T"
Bi -4.3034 0.6654 -2.4305
Bi -6.9294 1.3273 3.6542
Bi -9.6570 4.0192 -0.0257
Bi -7.0310 3.3574 -6.1103
Bi -7.0469 -1.8266 -2.2718
Bi -5.1468 -0.8462 1.1636
Bi -6.9135 6.5113 -0.1843
Bi -8.8136 5.5308 -3.6198
O -10.8271 2.5498 -5.4329
O -8.6337 0.0123 -1.9905
O -3.1334 2.1348 2.9768
O -5.3267 4.6723 -0.4657
O -4.7334 4.1737 -4.8084
O -9.5440 3.4010 -2.7175
O -9.2271 0.5109 2.3523
O -4.4165 1.2836 0.2613
O -5.9506 2.5024 -2.2139
O -12.5839 4.7223 -2.8576
O -8.0098 2.1822 -0.2423
O -1.3766 -0.0377 0.4014
O -6.4336 6.1386 -2.7265
O -7.5268 -1.4539 0.2703
O -7.8795 1.4332 -4.7788
O -6.0809 3.2514 2.3226
In -2.4456 1.7675 0.9568
In -8.7939 0.2247 0.2707
In -11.5149 2.9172 -3.4130
In -5.1665 4.4599 -2.7269
In -5.9665 2.7337 0.1789
In -4.2422 3.9298 3.3403
In -7.9939 1.9510 -2.6351
In -9.7183 0.7549 -5.7965


5.
10
Lattice="-1.0884 3.0788 2.2300 -5.4439 -1.6976 -0.3133 3.6749 -3.3672 6.4425" Properties=species:S:1:pos:R:3 comment="InBiO3 PBE optimized geometry" e_form_raw_kj_per_mol_fu=-618.5 spacegroup=Ama2 total_energy_ev_per_atom=-5.5809 pbc="T T T"
In -3.6738 -1.0712 1.4388
In -0.8725 -1.4415 6.8232
Bi 2.0638 -1.4677 4.7866
Bi -1.5018 0.5479 3.7694
O -2.8609 -1.7224 6.2406
O -3.7910 0.8416 2.2467
O -0.0657 -0.0706 5.3244
O 0.2001 -3.0563 6.0703
O -0.0750 -0.2881 2.1141
O -2.3943 -1.7914 3.0577


6.
4
Lattice="2.0085 0.0000 7.1367 -1.0042 1.7394 7.1367 -1.0042 -1.7394 7.1367" Properties=species:S:1:pos:R:3 comment="InBiO2 PBE optimized geometry" e_above_lowest_polymorph_ev_per_fu=1.09 e_form_raw_kj_per_mol_fu=-363.1 spacegroup=R3m total_energy_ev_per_atom=-5.0748 pbc="T T T"
Bi 0.0000 0.0000 10.8723
O 0.0000 0.0000 2.2054
O 0.0000 0.0000 13.5913
In 0.0000 0.0000 0.1152


7.
8
Lattice="-2.7435 0.3203 2.0468 3.2881 -0.3000 4.4279 -0.9431 7.7121 3.3203" Properties=species:S:1:pos:R:3 comment="InBiO2 PBE optimized geometry" e_above_lowest_polymorph_ev_per_fu=0.62 e_form_raw_kj_per_mol_fu=-408.7 spacegroup=P1 total_energy_ev_per_atom=-5.1930 pbc="T T T"
Bi -0.2831 3.1777 7.1845
Bi -0.0883 5.1553 4.2626
O -3.2283 7.6096 5.4522
O 1.0678 6.5992 5.5684
O 1.1015 1.2843 3.5427
O -2.5260 5.1955 3.8877
In 0.5450 6.9844 7.6944
In -1.1109 1.3149 3.4613


8.
5
Lattice="4.9438 0.0000 0.0000 0.0000 4.9438 0.0000 0.0000 0.0000 4.9438" Properties=species:S:1:pos:R:3 comment="In3BiO PBE optimized geometry" e_above_lowest_polymorph_ev_per_fu=0.00 e_form_raw_kj_per_mol_fu=-123.9 spacegroup=Pm-3m total_energy_ev_per_atom=-3.6678 pbc="T T T"
Bi 2.4719 2.4719 2.4719
O 0.0000 0.0000 0.0000
In 0.0000 2.4719 0.0000
In 0.0000 0.0000 2.4719
In 2.4719 0.0000 0.0000


9.
8
Lattice="11.5241 0.0000 -0.4107 3.1975 4.7272 -1.6461 -3.1975 4.7272 1.6461" Properties=species:S:1:pos:R:3 comment="InBiO2 PBE optimized geometry" e_above_lowest_polymorph_ev_per_fu=1.05 e_form_raw_kj_per_mol_fu=-366.7 spacegroup=Cc total_energy_ev_per_atom=-5.0841 pbc="T T T"
Bi 2.8758 1.3206 0.1231
Bi 8.6379 3.4066 -0.0823
O 4.6887 7.3403 -0.5054
O 10.4507 6.8413 -0.7107
O 4.4199 4.5995 -1.0848
O 6.9844 4.8549 0.3560
In 2.7797 6.0291 -0.5161
In 8.5417 8.1525 -0.7214


10.
5
Lattice="4.2676 0.0000 0.0000 0.0000 4.2676 0.0000 0.0000 0.0000 4.2676" Properties=species:S:1:pos:R:3 comment="InBiO3 PBE optimized geometry" e_form_raw_kj_per_mol_fu=-322.5 spacegroup=Pm-3m total_energy_ev_per_atom=-4.9672 pbc="T T T"
Bi 0.0000 0.0000 0.0000
O 0.0000 2.1338 0.0000
O 0.0000 0.0000 2.1338
O 2.1338 0.0000 0.0000
In 2.1338 2.1338 2.1338


11.
8
Lattice="1.6542 -11.0250 0.0000 1.6542 11.0250 0.0000 0.0000 0.0000 4.0987" Properties=species:S:1:pos:R:3 comment="InBiO2 PBE optimized geometry" e_above_lowest_polymorph_ev_per_fu=1.84 e_form_raw_kj_per_mol_fu=-291.1 spacegroup=Cmcm total_energy_ev_per_atom=-4.8882 pbc="T T T"
Bi 1.6542 9.4971 1.0247
Bi 1.6542 -9.4971 3.0740
O 1.6542 6.4831 1.0247
O 1.6542 -6.4831 3.0740
O 1.6542 -10.3194 1.0247
O 1.6542 10.3194 3.0740
In 1.6542 4.3336 1.0247
In 1.6542 -4.3336 3.0740


12.
14
Lattice="6.8401 0.2453 -0.1406 -0.2399 6.8141 0.1205 -3.2226 -3.6120 4.8406" Properties=species:S:1:pos:R:3 comment="In2BiO4 PBE optimized geometry" e_form_raw_kj_per_mol_fu=-876.0 spacegroup=R-3m total_energy_ev_per_atom=-5.4671 pbc="T T T"
In 1.7682 -0.0004 3.5878
In 3.2595 5.2126 1.2277
In 3.3795 1.8056 1.1675
In -1.6519 -0.1231 3.6581
Bi -0.4702 3.3470 2.7610
Bi -3.0734 3.2209 4.6756
O 4.8375 0.1472 1.3320
O 1.9215 3.4639 1.0029
O 3.3938 1.5032 3.4130
O 3.4960 -1.3775 3.3628
O 1.9668 0.0463 1.3763
O 0.1426 -1.5041 3.7625
O 0.0403 1.3767 3.8127
O 4.7921 3.5649 0.9587


13.
16
Lattice="5.8976 0.0000 0.0000 0.0000 7.8295 0.0000 0.0000 0.0000 6.6122" Properties=species:S:1:pos:R:3 comment="InBiO2 PBE optimized geometry" e_above_lowest_polymorph_ev_per_fu=1.14 e_form_raw_kj_per_mol_fu=-358.0 spacegroup=Pna2_1 total_energy_ev_per_atom=-5.0616 pbc="T T T"
Bi 0.3154 2.6227 6.3111
Bi 5.5821 5.2069 3.0051
Bi 2.6333 6.5374 3.0051
Bi 3.2642 1.2921 6.3111
O 2.5521 6.6429 0.6136
O 3.3454 1.1867 3.9197
O 0.3966 2.7281 3.9197
O 5.5009 5.1014 0.6136
O 0.0455 7.0268 4.5984
O 5.8521 0.8028 1.2924
O 2.9033 3.1120 1.2924
O 2.9942 4.7175 4.5984
In 0.4835 6.9727 0.0467
In 5.4141 0.8568 3.3528
In 2.4653 3.0579 3.3528
In 3.4323 4.7716 0.0467


14.
16
Lattice="11.8147 0.0000 3.7365 0.0000 5.3697 0.0000 -3.3938 0.0000 3.8656" Properties=species:S:1:pos:R:3 comment="InBiO2 PBE optimized geometry" e_above_lowest_polymorph_ev_per_fu=0.82 e_form_raw_kj_per_mol_fu=-389.0 spacegroup=P2_1/c total_energy_ev_per_atom=-5.1419 pbc="T T T"
Bi 5.2701 1.2276 4.5090
Bi 3.1508 4.1421 3.0931
Bi 7.3612 3.9125 6.8941
Bi 1.0597 1.4573 0.7079
O 8.6071 2.0155 6.3860
O -0.1862 3.3542 1.2161
O 4.0242 4.7004 5.0171
O 4.3967 0.6693 2.5849
O -0.5227 2.6278 4.3895
O 8.9436 2.7419 3.2125
O 1.3393 5.3127 3.2771
O 7.0816 0.0570 4.3250
In -0.7114 4.4181 3.0515
In 9.1323 0.9517 4.5506
In 1.5280 1.7332 4.6151
In 6.8929 3.6365 2.9869


15.
4
Lattice="0.0000 3.1447 3.1447 3.1447 0.0000 3.1447 3.1447 3.1447 0.0000" Properties=species:S:1:pos:R:3 comment="InBiO2 PBE optimized geometry" e_above_lowest_polymorph_ev_per_fu=3.13 e_form_raw_kj_per_mol_fu=-166.1 spacegroup=Fm-3m total_energy_ev_per_atom=-4.5643 pbc="T T T"
Bi 3.1447 3.1447 3.1447
O 1.5724 1.5724 1.5724
O 4.7171 4.7171 4.7171
In 0.0000 0.0000 0.0000


16.
18
Lattice="-3.8746 3.5994 -1.4495 -1.1263 -5.3663 0.0573 -2.7907 0.6834 9.1565" Properties=species:S:1:pos:R:3 comment="InBiOsO6 PBE optimized geometry" e_form_raw_kj_per_mol_fu=-1005.7 spacegroup=P-31c total_energy_ev_per_atom=-6.4469 pbc="T T T"
In -2.7401 -2.2069 1.8441
In -5.0515 1.1234 5.9201
Bi 0.0000 0.0000 0.0000
Bi -1.3953 0.3417 4.5782
Os -3.6562 0.7817 1.3418
Os -4.1354 -1.8652 6.4224
O -3.6079 -0.8841 0.3362
O -4.5183 1.7113 -0.1350
O -4.2097 -3.5057 5.3775
O -3.2732 -2.7948 7.8992
O -2.8786 -0.2465 2.8002
O -5.4608 0.4027 1.9648
O -5.9021 -2.3681 7.0661
O -3.5818 2.4221 2.3867
O -2.3308 -1.4862 5.7994
O -1.8895 1.2845 0.6981
O -4.9129 -0.8371 4.9640
O -4.1837 -0.1994 7.4280


17.
12
Lattice="-3.5557 -3.4223 1.3168 0.1783 -1.9988 -4.7041 4.8512 -4.2711 1.9988" Properties=species:S:1:pos:R:3 comment="InBi2OsO8 PBE optimized geometry" e_form_raw_kj_per_mol_fu=-1311.0 spacegroup=P2/m total_energy_ev_per_atom=-6.2486 pbc="T T T"
In 2.4256 -2.1355 0.9994
Bi 1.9452 -5.9118 -0.1969
Bi -0.4715 -3.7804 -1.1917
Os 0.0000 0.0000 0.0000
O 0.5938 -3.1845 -3.1921
O -2.5059 -4.0414 -2.5459
O -1.8316 -4.1249 0.6852
O 0.8799 -6.5076 1.8035
O 3.9797 -5.6508 1.1574
O 3.3053 -5.5673 -2.0737
O 0.0713 -5.9177 -1.3741
O 1.4025 -3.7745 -0.0145


18.
5
Lattice="4.2112 0.0000 0.0000 0.0000 4.2112 0.0000 0.0000 0.0000 5.5023" Properties=species:S:1:pos:R:3 comment="InBiPO2 PBE optimized geometry" e_above_lowest_polymorph_ev_per_fu=0.00 e_form_raw_kj_per_mol_fu=-97.7 spacegroup=P4/mmm total_energy_ev_per_atom=-4.5916 pbc="T T T"
P 0.0000 0.0000 2.7511
Bi 0.0000 0.0000 0.0000
O 0.0000 2.1056 0.0000
O 2.1056 0.0000 0.0000
In 2.1056 2.1056 2.7511